No. 1
The following is a DFT calculation (GGA-PBE) of a relaxed structure of Rb2TaFeRu.

Cell: 7.0289 7.0289 4.5733 Å, 90.00 90.00 90.00°
Closest atoms and distances in Å follow each position.
Fractional coordinates of all 5 atoms:
Rb1 0.0000 0.5000 0.0000  2 Ta 3.51
Rb2 0.5000 0.0000 0.0000  2 Ta 3.51
Ta1 0.0000 0.0000 0.0000  2 Ru 2.29
Fe1 0.5000 0.5000 0.5000  8 Rb 4.19, 2 Fe 4.57
Ru1 0.0000 0.0000 0.5000  2 Ta 2.29

Formation energy, eV per atom: 1.89
Symmetry: P4/mmm (123)
DOS(E_F), states/eV/f.u.: 15.54


No. 2
The following is a DFT calculation (GGA-PBE) of a relaxed structure of RbFeTc2Ru.

Cell: 4.6096 4.6096 4.6473 Å, 90.00 90.00 90.00°
Closest atoms and distances in Å follow each position.
Fractional coordinates of all 5 atoms:
Rb1 0.0000 0.0000 0.0000  4 Ru 3.26, 8 Tc 3.27
Fe1 0.5000 0.5000 0.5000  4 Tc 2.30, 2 Ru 2.32
Tc1 0.0000 0.5000 0.5000  2 Fe 2.30
Tc2 0.5000 0.0000 0.5000  2 Fe 2.30
Ru1 0.5000 0.5000 0.0000  2 Fe 2.32

Formation energy, eV per atom: 1.63
Symmetry: P4/mmm (123)
DOS(E_F), states/eV/f.u.: 5.97


No. 3
The following is a DFT calculation (GGA-PBE) of a relaxed structure of RbZr2FeRu.

Cell: 4.8292 4.8292 4.8789 Å, 90.00 90.00 90.00°
Closest atoms and distances in Å follow each position.
Fractional coordinates of all 5 atoms:
Rb1 0.0000 0.0000 0.0000  2 Fe 2.44
Zr1 0.0000 0.5000 0.5000  2 Fe 2.41
Zr2 0.5000 0.0000 0.5000  2 Fe 2.41
Fe1 0.0000 0.0000 0.5000  4 Zr 2.41, 2 Rb 2.44
Ru1 0.5000 0.5000 0.0000  4 Rb 3.41, 8 Zr 3.43

Formation energy, eV per atom: 1.38
Symmetry: P4/mmm (123)
DOS(E_F), states/eV/f.u.: 4.03


No. 4
The following is a DFT calculation (GGA-PBE) of a relaxed structure of RbFe3S.

Cell: 4.6970 4.6970 4.6970 Å, 90.00 90.00 90.00°
Closest atoms and distances in Å follow each position.
Fractional coordinates of all 5 atoms:
Rb1 0.0000 0.0000 0.0000  6 Fe 2.35
Fe1 0.0000 0.0000 0.5000  2 Rb 2.35
Fe2 0.0000 0.5000 0.0000  2 Rb 2.35
Fe3 0.5000 0.0000 0.0000  2 Rb 2.35
S1 0.5000 0.5000 0.5000  12 Fe 3.32

Electronic total energy, hartree per atom: -0.1280
Symmetry: Pm-3m (221)
DOS(E_F), states/eV/f.u.: 6.12


No. 5
The following is a DFT calculation (GGA-PBE) of a relaxed structure of RbFeS2.

Cell: 6.8988 6.8988 5.4414 Å, 101.15 101.15 116.31°
Closest atoms and distances in Å follow each position.
Fractional coordinates of all 8 atoms:
Rb1 0.1460 0.8540 0.7500  8 S 3.49-3.57
Rb2 0.8540 0.1460 0.2500  8 S 3.49-3.57
Fe1 0.4975 0.5025 0.2500  4 S 2.18-2.19
Fe2 0.5025 0.4975 0.7500  4 S 2.18-2.19
S1 0.2153 0.4120 0.9048  2 Fe 2.18-2.19
S2 0.4120 0.2153 0.4048  2 Fe 2.18-2.19
S3 0.5880 0.7847 0.5952  2 Fe 2.18-2.19
S4 0.7847 0.5880 0.0952  2 Fe 2.18-2.19

Electronic total energy, hartree per atom: -0.1904
Symmetry: C2/c (15)
DOS(E_F), states/eV/f.u.: 1.99


No. 6
The following is a DFT calculation (GGA-PBE) of a relaxed structure of Rb2FeS2.

Cell: 7.6618 7.6618 7.6618 Å, 130.48 130.48 72.64°
Closest atoms and distances in Å follow each position.
Fractional coordinates of all 5 atoms:
Rb1 0.2500 0.7500 0.5000  4 S 3.35
Rb2 0.7500 0.2500 0.5000  4 S 3.35
Fe1 0.0000 0.0000 0.0000  2 S 2.14
S1 0.1731 0.1731 0.0000  1 Fe 2.14
S2 0.8269 0.8269 0.0000  1 Fe 2.14

Electronic total energy, hartree per atom: -0.1580
Symmetry: I4/mmm (139)
DOS(E_F), states/eV/f.u.: 10.77


No. 7
The following is a DFT calculation (GGA-PBE) of a relaxed structure of RbFeS2.

Cell: 4.9528 4.9528 4.9528 Å, 60.00 60.00 60.00°
Closest atoms and distances in Å follow each position.
Fractional coordinates of all 4 atoms:
Rb1 0.0000 0.0000 0.0000  8 S 3.03
Fe1 0.5000 0.5000 0.5000  8 S 3.03
S1 0.2500 0.2500 0.2500  4 Fe 3.03, 4 Rb 3.03
S2 0.7500 0.7500 0.7500  4 Fe 3.03, 4 Rb 3.03

Electronic total energy, hartree per atom: -0.1503
Symmetry: Fm-3m (225)
DOS(E_F), states/eV/f.u.: 1.41


No. 8
The following is a DFT calculation (GGA-PBE) of a relaxed structure of Rb4Fe2S5.

Cell: 7.7520 8.4110 10.4853 Å, 77.79 83.53 80.12°
Closest atoms and distances in Å follow each position.
Fractional coordinates of all 22 atoms:
Rb1 0.0646 0.1084 0.2577  6 S 3.26-3.64
Rb2 0.1946 0.5786 0.3674  4 S 3.25-3.55
Rb3 0.4093 0.7889 0.9878  5 S 3.25-3.60
Rb4 0.4289 0.8257 0.5883  5 S 3.25-3.37, 1 Rb 3.40
Rb5 0.5711 0.1743 0.4117  5 S 3.25-3.37, 1 Rb 3.40
Rb6 0.5907 0.2111 0.0122  5 S 3.25-3.60
Rb7 0.8054 0.4214 0.6326  4 S 3.25-3.55
Rb8 0.9354 0.8916 0.7423  6 S 3.26-3.64
Fe1 0.0860 0.4135 0.9051  4 S 2.20-2.24
Fe2 0.2681 0.2341 0.7218  4 S 2.23-2.28
Fe3 0.7319 0.7659 0.2782  4 S 2.23-2.28
Fe4 0.9140 0.5865 0.0949  4 S 2.20-2.24
S1 0.0915 0.1515 0.9030  2 Fe 2.20-2.27
S2 0.1611 0.1888 0.5466  1 Fe 2.23
S3 0.1929 0.4593 0.0814  2 Fe 2.24
S4 0.2419 0.5075 0.7231  2 Fe 2.21-2.28
S5 0.4572 0.8957 0.2606  1 Fe 2.23
S6 0.5428 0.1043 0.7394  1 Fe 2.23
S7 0.7581 0.4925 0.2769  2 Fe 2.21-2.28
S8 0.8071 0.5407 0.9186  2 Fe 2.24
S9 0.8389 0.8112 0.4534  1 Fe 2.23
S10 0.9085 0.8485 0.0970  2 Fe 2.20-2.27

Electronic total energy, hartree per atom: -0.1697
Symmetry: P-1 (2)
DOS(E_F), states/eV/f.u.: 3.50


Question: Which value of DOS(E_F) does entry 1 give?
Answer: 15.54 states/eV/f.u.